A plane-wave DFT calculation with PBE+U was carried out for a relaxed structure of RbCo2CuF8.

Computed properties:
Magnetization ... 8.00 μB/f.u.
Raw total energy ... -4.4386 eV per atom

Geometry as POSCAR:
```
RbCo2CuF8
1.0
-0.698 3.614 3.640
-5.079 -0.340 0.280
0.549 -4.592 4.686
F Rb Co Cu
8 1 2 1
Direct
0.185 0.746 0.805
0.619 0.683 0.499
0.358 0.302 0.000
0.381 0.317 0.501
0.642 0.698 0.000
0.816 0.255 0.805
0.184 0.745 0.195
0.815 0.254 0.195
0.000 0.000 0.500
0.500 0.500 0.762
0.500 0.500 0.238
0.000 0.000 0.000
```